Computed, not measured: an optimized crystal structure of NaTmNpO6 at the PBE level of DFT.

Summary:
- E_tot: -7.88 eV/atom
- Crystal system: tetragonal
- Spin magnetization: 0.115 μB/atom
- Symmetry: No. 102

Cell lengths 5.133, 5.133, 10.139 Å; angles 90.00, 90.00, 90.00 degrees
Fractional coordinates of all 18 atoms:
Na1 0.000 0.000 0.000
Na2 0.500 0.500 0.500
Tm1 0.000 0.000 0.670
Tm2 0.500 0.500 0.170
Np1 0.000 0.000 0.335
Np2 0.500 0.500 0.835
O1 0.176 0.176 0.486
O2 0.196 0.196 0.195
O3 0.221 0.221 0.822
O4 0.279 0.721 0.322
O5 0.304 0.696 0.695
O6 0.324 0.676 0.986
O7 0.676 0.324 0.986
O8 0.696 0.304 0.695
O9 0.721 0.279 0.322
O10 0.779 0.779 0.822
O11 0.804 0.804 0.195
O12 0.824 0.824 0.486